Material: La2DyTc
Method: DFT, GGA-PBE
State: optimized geometry

**M_tot**: 0.0 μB/f.u.
**Distance to the lowest polymorph of the same formula**: 602.1 meV/atom
**DFT formation energy**: 0.56 eV per atom
**VASP energy**: -67.7 eV per cell

a b c (Å): 3.4752 3.4752 33.2727
angles (deg): 90.00 90.00 120.00
Sites, in units of the cell vectors:
La1 0.0000 0.0000 0.0750
La2 0.0000 0.0000 0.9250
La3 0.3333 0.6667 0.5917
La4 0.3333 0.6667 0.7416
La5 0.6667 0.3333 0.2584
La6 0.6667 0.3333 0.4083
Dy1 0.0000 0.0000 0.5000
Dy2 0.3333 0.6667 0.1667
Dy3 0.6667 0.3333 0.8333
Tc1 0.0000 0.0000 0.0000
Tc2 0.3333 0.6667 0.6667
Tc3 0.6667 0.3333 0.3333

---

Material: SmBe17Ru
Method: DFT, GGA-PBE
State: optimized geometry

**M_tot**: 0.0 μB/f.u.
**DFT formation energy**: -0.07 eV per atom
**VASP energy**: -78.7 eV per cell

a b c (Å): 5.6790 5.6790 5.6790
angles (deg): 83.16 83.16 83.16
Sites, in units of the cell vectors:
Sm1 0.0000 0.0000 0.0000
Be1 0.0486 0.3521 0.6288
Be2 0.0486 0.6288 0.3521
Be3 0.2106 0.6811 0.6811
Be4 0.2514 0.2514 0.2514
Be5 0.3398 0.3398 0.8473
Be6 0.3398 0.8473 0.3398
Be7 0.3521 0.0486 0.6288
Be8 0.3521 0.6288 0.0486
Be9 0.4435 0.4435 0.4435
Be10 0.5072 0.9918 0.9918
Be11 0.6288 0.0486 0.3521
Be12 0.6288 0.3521 0.0486
Be13 0.6811 0.2106 0.6811
Be14 0.6811 0.6811 0.2106
Be15 0.8473 0.3398 0.3398
Be16 0.9918 0.5072 0.9918
Be17 0.9918 0.9918 0.5072
Ru1 0.6665 0.6665 0.6665

---

Material: FeSeBr2
Method: DFT, GGA-PBE
State: optimized geometry

**M_tot**: 3.0 μB/f.u.
**Distance to the lowest polymorph of the same formula**: 924.1 meV/atom
**VASP energy**: -49.5 eV per cell

a b c (Å): 7.0077 7.0077 7.0077
angles (deg): 90.00 90.00 90.00
Sites, in units of the cell vectors:
Fe1 0.0000 0.0000 0.0000
Fe2 0.0000 0.5000 0.5000
Fe3 0.5000 0.0000 0.5000
Fe4 0.5000 0.5000 0.0000
Se1 0.0000 0.0000 0.5000
Se2 0.0000 0.5000 0.0000
Se3 0.5000 0.0000 0.0000
Se4 0.5000 0.5000 0.5000
Br1 0.2500 0.2500 0.2500
Br2 0.2500 0.2500 0.7500
Br3 0.2500 0.7500 0.2500
Br4 0.2500 0.7500 0.7500
Br5 0.7500 0.2500 0.2500
Br6 0.7500 0.2500 0.7500
Br7 0.7500 0.7500 0.2500
Br8 0.7500 0.7500 0.7500